[1]
A plane-wave DFT calculation with PBE was carried out for a geometry-optimized LiTl2Sb structure. Values from VASP.

Structure (Quantum ESPRESSO input):
```
&SYSTEM
  ibrav = 0, nat = 8, ntyp = 3
/
ATOMIC_SPECIES
Li 6.94 Li.upf
Tl 204.38 Tl.upf
Sb 121.76 Sb.upf
ATOMIC_POSITIONS angstrom
Li 0.0000 0.0000 0.0000
Li 2.3431 2.3431 4.9455
Tl 0.0000 2.3431 2.4728
Tl 0.0000 2.3431 7.4183
Tl 2.3431 0.0000 2.4728
Tl 2.3431 0.0000 7.4183
Sb 0.0000 0.0000 4.9455
Sb 2.3431 2.3431 0.0000
CELL_PARAMETERS angstrom
4.6861 0.0000 0.0000
0.0000 4.6861 0.0000
0.0000 0.0000 9.8911
```

Computed properties:
E_tot ... -22.49 eV/cell
Energy relative to the elements, uncorrected ... -0.118 eV/atom
SG ... No. 139
Energy relative to the lowest polymorph listed for this composition ... 0.29 eV per formula unit
ρ ... 8.22 g cm⁻³

[2]
A plane-wave DFT calculation with PBE was carried out for a geometry-optimized LiTl2Sb structure. Values from VASP.

Structure (Quantum ESPRESSO input):
```
&SYSTEM
  ibrav = 0, nat = 4, ntyp = 3
/
ATOMIC_SPECIES
Li 6.94 Li.upf
Tl 204.38 Tl.upf
Sb 121.76 Sb.upf
ATOMIC_POSITIONS angstrom
Li 0.0000 0.0000 0.0000
Tl 0.5168 2.7927 4.1720
Tl 2.5592 2.7927 1.3803
Sb 1.5380 0.0000 2.7762
CELL_PARAMETERS angstrom
3.5233 0.0000 0.0000
0.0000 5.5855 0.0000
-0.4472 0.0000 5.5523
```

Computed properties:
E_tot ... -11.15 eV/cell
Energy relative to the elements, uncorrected ... -0.096 eV/atom
SG ... No. 10
Energy relative to the lowest polymorph listed for this composition ... 0.38 eV per formula unit
ρ ... 8.17 g cm⁻³

> Which value of energy relative to the elements, uncorrected does entry 1 give?

-0.118 eV/atom